# 1
The following is a DFT calculation (PBE) of a relaxed structure of Sc3Tl5.

Crystal system   orthorhombic
DFT total energy   -4.015 eV per atom
E_form   -125 kJ/mol of formula units
Energy above the lowest structure with this stoichiometry   0.0 meV per atom

Unit cell a=8.958 b=9.253 c=4.718 alpha=90.00 beta=90.00 gamma=90.00
Space group Cmmm (No. 65)
Inequivalent atoms, fractional coordinates:
Sc: 0.000 0.000 0.000 [2 per cell]
Sc: 0.000 0.276 0.500 [4 per cell]
Tl: 0.000 0.500 0.000 [2 per cell]
Tl: 0.222 0.000 0.500 [4 per cell]
Tl: 0.250 0.250 0.000 [4 per cell]



# 2
The following is a DFT calculation (PBE) of a relaxed structure of Cd2CoPb.

Crystal system   orthorhombic
DFT total energy   -2.936 eV per atom
E_form   87 kJ/mol of formula units

Unit cell a=3.035 b=4.484 c=13.080 alpha=90.00 beta=90.00 gamma=90.00
Space group Imm2 (No. 44)
Inequivalent atoms, fractional coordinates:
Cd: 0.000 0.000 0.000 [2 per cell]
Cd: 0.000 0.500 0.161 [2 per cell]
Co: 0.000 0.500 0.672 [2 per cell]
Pb: 0.000 0.000 0.346 [2 per cell]



# 3
The following is a DFT calculation (PBE) of a relaxed structure of Sr2W.

Crystal system   hexagonal
DFT total energy   -4.140 eV per atom
E_form   376 kJ/mol of formula units
Energy above the lowest structure with this stoichiometry   679.7 meV per atom

Unit cell a=5.6709 b=5.6709 c=2.9598 alpha=90.00 beta=90.00 gamma=120.00
Space group P6/mmm (No. 191)
Inequivalent atoms, fractional coordinates:
Sr: 0.3333 0.6667 0.0000 [2 per cell]
W: 0.0000 0.0000 0.5000 [1 per cell]



# 4
The following is a DFT calculation (PBE) of a relaxed structure of Ba2TlW.

Crystal system   trigonal
DFT total energy   -3.773 eV per atom
E_form   393 kJ/mol of formula units
Energy above the lowest structure with this stoichiometry   276.4 meV per atom

Unit cell a=3.5096 b=3.5096 c=35.0852 alpha=90.00 beta=90.00 gamma=120.00
Space group R-3m (No. 166, hexagonal axes)
Inequivalent atoms, fractional coordinates:
Ba: 0.0000 0.0000 0.2420 [6 per cell]
Tl: 0.0000 0.0000 0.0000 [3 per cell]
W: 0.0000 0.0000 0.5000 [3 per cell]



# 5
The following is a DFT calculation (PBE) of a relaxed structure of Y12MgCu6.

Crystal system   cubic
DFT total energy   -5.612 eV per atom
E_form   -278 kJ/mol of formula units

Unit cell a=9.934 b=9.934 c=9.934 alpha=90.00 beta=90.00 gamma=90.00
Space group Im-3 (No. 204)
Inequivalent atoms, fractional coordinates:
Y: 0.000 0.297 0.189 [24 per cell]
Mg: 0.000 0.000 0.000 [2 per cell]
Cu: 0.000 0.123 0.500 [12 per cell]



# 6
The following is a DFT calculation (PBE) of a relaxed structure of La3Ta2As2N4.

Crystal system   tetragonal
DFT total energy   -8.681 eV per atom

Unit cell a=4.174 b=4.174 c=22.653 alpha=90.00 beta=90.00 gamma=90.00
Space group I4/mmm (No. 139)
Inequivalent atoms, fractional coordinates:
La: 0.000 0.000 0.000 [2 per cell]
La: 0.000 0.000 0.160 [4 per cell]
Ta: 0.000 0.000 0.415 [4 per cell]
As: 0.000 0.000 0.302 [4 per cell]
N: 0.000 0.500 0.076 [8 per cell]



The highest DFT total energy belongs to which entry?
Cd2CoPb



Among the records above, which one has the lowest DFT total energy?
La3Ta2As2N4